# 1
# TmIn4AgO8 GGA-PBE relaxed
data_TmIn4AgO8
_cell_length_a 6.5975
_cell_length_b 6.5975
_cell_length_c 16.3348
_cell_angle_alpha 90.00
_cell_angle_beta 90.00
_cell_angle_gamma 120.00
_symmetry_space_group_name_H-M 'R 3 m'
_symmetry_Int_Tables_number 160
_symmetry_space_group_name_Hall 'R 3 -2"'
loop_
_atom_site_label
_atom_site_fract_x
_atom_site_fract_y
_atom_site_fract_z
_atom_site_occupancy
Tm1 0.0000 0.0000 0.0000 1
In1 0.0000 0.0000 0.6192 1
In2 0.1695 0.3391 0.8287 1
Ag1 0.0000 0.0000 0.3674 1
O1 0.0000 0.0000 0.2298 1
O2 0.0000 0.0000 0.7550 1
O3 0.0397 0.5198 0.7528 1
O4 0.1776 0.3553 0.5761 1
# **Size of the total moment**: 0.0 Bohr magnetons per cell
# **ΔE_f (raw)**: -1.6779 eV per atom
# **Electronic total energy**: -244.300 eV/cell

# 2
# Ce4TeSe3 GGA-PBE relaxed
data_Ce4TeSe3
_cell_length_a 4.1454
_cell_length_b 4.1454
_cell_length_c 14.9468
_cell_angle_alpha 90.00
_cell_angle_beta 90.00
_cell_angle_gamma 120.00
_symmetry_space_group_name_H-M 'P -3 m 1'
_symmetry_Int_Tables_number 164
_symmetry_space_group_name_Hall '-P 3 2"'
loop_
_atom_site_label
_atom_site_fract_x
_atom_site_fract_y
_atom_site_fract_z
_atom_site_occupancy
Ce1 0.3333 0.6667 0.3588 1
Ce2 0.3333 0.6667 0.8784 1
Te1 0.0000 0.0000 0.5000 1
Se1 0.0000 0.0000 0.0000 1
Se2 0.0000 0.0000 0.2412 1
# **Size of the total moment**: 4.5 Bohr magnetons per cell
# **ΔE_f (raw)**: -1.6165 eV per atom
# **Electronic total energy**: -50.263 eV/cell